Below is a relaxed AcPrMgTl crystal, with properties calculated at the PBE level.

It has space group F-43m (No. 216), with a = 8.053 Å, b = 8.053 Å, c = 8.053 Å, α = 90.00°, β = 90.00° and γ = 90.00°. Symmetry generates all atoms from Ac at (0.000, 0.000, 0.000), Pr at (0.000, 0.000, 0.500), Mg at (0.250, 0.250, 0.250) and Tl at (0.250, 0.250, 0.750).

The formation energy is -0.226 eV/atom. For the final energy, the calculation gives -0.253 Ry/atom. The calculation puts the total magnetic moment at 0.00 μB/f.u. Its calculated density is 7.59 g cm⁻³.

---

Below is a relaxed Ba4LaZr crystal, with properties calculated at the PBE level.

It has space group F-43m (No. 216), with a = 10.427 Å, b = 10.427 Å, c = 10.427 Å, α = 90.00°, β = 90.00° and γ = 90.00°. Symmetry generates all atoms from Ba at (0.124, 0.124, 0.376), La at (0.000, 0.000, 0.000) and Zr at (0.250, 0.250, 0.750).

The formation energy is 0.744 eV/atom. For the final energy, the calculation gives -0.205 Ry/atom. The calculation puts the total magnetic moment at 3.54 μB/f.u. Its calculated density is 4.57 g cm⁻³.

---

Below is a relaxed BeH2Pd crystal, with properties calculated at the PBE level.

It has space group Fm-3m (No. 225), with a = 4.964 Å, b = 4.964 Å, c = 4.964 Å, α = 90.00°, β = 90.00° and γ = 90.00°. Symmetry generates all atoms from Be at (0.000, 0.000, 0.000), H at (0.250, 0.250, 0.250) and Pd at (0.000, 0.000, 0.500).

The energy relative to the lowest polymorph listed for this composition is 454 meV per atom. For the final energy, the calculation gives -0.253 Ry/atom. The calculation puts the total magnetic moment at 0.00 μB/f.u. Its calculated density is 6.38 g cm⁻³.